(1)
Compound: ZnCoAs2
Source: Alexandria
Functional: GGA-PBEsol
Structure: relaxed

a b c (Å): 3.4316 3.4316 6.4761
angles (deg): 74.64 74.64 60.00
Last column: nearest neighbours and their distance in Å.
Fractional positions:
As1 0.7644 0.7644 0.7069  3 Co 2.36
As2 0.2356 0.2356 0.2931  3 Co 2.36
Zn1 0.0000 0.0000 0.0000  6 As 2.68
Co1 0.5000 0.5000 0.5000  6 As 2.36

Its volume is 15.7 A^3/atom. As for the space group: R-3m, No. 166.

(2)
Compound: In3PdBr
Source: Alexandria
Functional: GGA-PBEsol
Structure: relaxed

a b c (Å): 5.1402 5.1402 5.1402
angles (deg): 90.00 90.00 90.00
Last column: nearest neighbours and their distance in Å.
Fractional positions:
Br1 0.5000 0.5000 0.5000  12 In 3.63
In1 0.0000 0.0000 0.5000  2 Pd 2.57
In2 0.5000 0.0000 0.0000  2 Pd 2.57
In3 0.0000 0.5000 0.0000  2 Pd 2.57
Pd1 0.0000 0.0000 0.0000  6 In 2.57

For the uncorrected formation energy, the calculation gives -39 kJ/mol of atoms. Its volume is 27.2 A^3/atom. The energy relative to the lowest polymorph listed for this composition comes out at 0 meV per atom. As for the space group: Pm-3m, No. 221.

(3)
Compound: TlCo2Si
Source: Alexandria
Functional: GGA-PBEsol
Structure: relaxed

a b c (Å): 2.7941 2.7954 6.6605
angles (deg): 91.15 90.00 90.00
Last column: nearest neighbours and their distance in Å.
Fractional positions:
Co1 0.0000 0.9886 0.3060  4 Si 2.36, 1 Co 2.58
Co2 0.0000 0.0114 0.6940  4 Si 2.36, 1 Co 2.58
Tl1 0.5000 0.5000 0.0000  4 Tl 2.79-2.80, 8 Co 2.80-2.87
Si1 0.5000 0.5000 0.5000  8 Co 2.36

For the uncorrected formation energy, the calculation gives -6 kJ/mol of atoms. Its volume is 13.0 A^3/atom. The energy relative to the lowest polymorph listed for this composition comes out at 0 meV per atom. As for the space group: P2/m, No. 10.

(4)
Compound: MnTeAu2
Source: Alexandria
Functional: GGA-PBEsol
Structure: relaxed

a b c (Å): 4.7345 4.7345 4.7345
angles (deg): 60.00 60.00 60.00
Last column: nearest neighbours and their distance in Å.
Fractional positions:
Te1 0.2500 0.2500 0.2500  4 Mn 2.90, 4 Au 2.90
Au1 0.7500 0.7500 0.7500  4 Mn 2.90, 4 Au 2.90
Au2 0.0000 0.0000 0.0000  4 Te 2.90, 4 Au 2.90
Mn1 0.5000 0.5000 0.5000  4 Au 2.90, 4 Te 2.90

For the uncorrected formation energy, the calculation gives 27 kJ/mol of atoms. Its volume is 18.8 A^3/atom. As for the space group: F-43m, No. 216.

(5)
Compound: LiTl2C
Source: Alexandria
Functional: GGA-PBEsol
Structure: relaxed

a b c (Å): 4.6634 4.6634 4.6634
angles (deg): 60.00 60.00 60.00
Last column: nearest neighbours and their distance in Å.
Fractional positions:
Tl1 0.2500 0.2500 0.2500  4 C 2.86, 4 Li 2.86
Tl2 0.7500 0.7500 0.7500  4 Li 2.86, 4 C 2.86
Li1 0.0000 0.0000 0.0000  8 Tl 2.86
C1 0.5000 0.5000 0.5000  8 Tl 2.86

Its volume is 17.9 A^3/atom. As for the space group: Fm-3m, No. 225.

(6)
Compound: Ta2InN
Source: Alexandria
Functional: GGA-PBEsol
Structure: relaxed

a b c (Å): 4.4311 4.4311 4.4311
angles (deg): 60.00 60.00 60.00
Last column: nearest neighbours and their distance in Å.
Fractional positions:
Ta1 0.2500 0.2500 0.2500  4 In 2.71, 4 N 2.71
Ta2 0.7500 0.7500 0.7500  4 In 2.71, 4 N 2.71
In1 0.5000 0.5000 0.5000  8 Ta 2.71
N1 0.0000 0.0000 0.0000  8 Ta 2.71

For the uncorrected formation energy, the calculation gives 98 kJ/mol of atoms. Its volume is 15.4 A^3/atom. As for the space group: Fm-3m, No. 225.

(7)
Compound: Al2CrSb
Source: Alexandria
Functional: GGA-PBEsol
Structure: relaxed

a b c (Å): 5.4925 6.0344 6.0344
angles (deg): 78.05 62.93 62.93
Last column: nearest neighbours and their distance in Å.
Fractional positions:
Al1 0.8750 0.5053 0.9947  2 Cr 2.75, 2 Al 2.75, 2 Sb 2.80
Al2 0.6197 0.0053 0.5053  2 Cr 2.75, 2 Al 2.75, 2 Sb 2.80
Al3 0.1303 0.9947 0.4947  2 Cr 2.75, 2 Al 2.75, 2 Sb 2.80
Al4 0.3750 0.4947 0.0053  2 Cr 2.75, 2 Al 2.75, 2 Sb 2.80
Cr1 0.5000 0.0000 0.0000  4 Al 2.75, 2 Sb 2.75
Cr2 0.2500 0.5000 0.5000  4 Al 2.75, 2 Sb 2.75
Sb1 0.0000 0.0000 0.0000  2 Cr 2.75, 4 Al 2.80
Sb2 0.7500 0.5000 0.5000  2 Cr 2.75, 4 Al 2.80

For the uncorrected formation energy, the calculation gives 45 kJ/mol of atoms. Its volume is 19.8 A^3/atom. As for the space group: I-42d, No. 122.

(8)
Compound: InSiMo2
Source: Alexandria
Functional: GGA-PBEsol
Structure: relaxed

a b c (Å): 2.7884 2.7884 8.9453
angles (deg): 90.00 90.00 106.15
Last column: nearest neighbours and their distance in Å.
Fractional positions:
Mo1 0.0000 0.0000 0.9794  6 Mo 2.68-2.79, 2 In 2.89
Mo2 0.5000 0.5000 0.7450  2 Si 2.53, 6 Mo 2.68-2.79
In1 0.5000 0.5000 0.2427  4 In 2.79, 2 Mo 2.89, 2 Si 3.09
Si1 0.0000 0.0000 0.5329  2 Mo 2.53, 4 Si 2.79

For the uncorrected formation energy, the calculation gives 26 kJ/mol of atoms. Its volume is 16.7 A^3/atom. The energy relative to the lowest polymorph listed for this composition comes out at 274 meV per atom. As for the space group: Cmm2, No. 35.

(9)
Compound: TaTlNi2
Source: Alexandria
Functional: GGA-PBEsol
Structure: relaxed

a b c (Å): 3.0803 4.3815 5.1072
angles (deg): 101.60 90.00 110.58
Last column: nearest neighbours and their distance in Å.
Fractional positions:
Ta1 0.0000 0.0000 0.5000  6 Ni 2.51-2.54
Tl1 0.5000 0.0000 0.0000  6 Ni 2.76-2.84, 4 Ta 2.98, 2 Tl 3.08
Ni1 0.7375 0.4749 0.6893  3 Ta 2.51-2.54, 2 Ni 2.51, 1 Tl 2.76
Ni2 0.2625 0.5251 0.3107  3 Ta 2.51-2.54, 2 Ni 2.51, 1 Tl 2.76

Its volume is 15.8 A^3/atom. The energy relative to the lowest polymorph listed for this composition comes out at 187 meV per atom. As for the space group: C2/m, No. 12.

(10)
Compound: Cd5Pt
Source: Alexandria
Functional: GGA-PBEsol
Structure: relaxed

a b c (Å): 3.1052 4.6947 7.9518
angles (deg): 90.00 101.26 90.00
Last column: nearest neighbours and their distance in Å.
Fractional positions:
Cd1 0.4551 0.5000 0.9102  2 Pt 2.89, 8 Cd 2.91-3.11
Cd2 0.3345 0.0000 0.6690  12 Cd 2.99-3.13
Cd3 0.7691 0.5000 0.5382  8 Cd 2.89-3.11, 2 Pt 2.91
Cd4 0.6605 0.0000 0.3211  8 Cd 2.89-3.13, 4 Pt 2.92
Cd5 0.0026 0.0000 0.0052  2 Pt 2.90, 10 Cd 2.91-3.11
Pt1 0.1115 0.5000 0.2230  10 Cd 2.89-2.92, 2 Pt 3.11

Its volume is 18.9 A^3/atom. As for the space group: Amm2, No. 38.

(11)
Compound: AsIr2Ru
Source: Alexandria
Functional: GGA-PBEsol
Structure: relaxed

a b c (Å): 2.7064 2.7212 9.2066
angles (deg): 90.00 90.00 119.82
Last column: nearest neighbours and their distance in Å.
Fractional positions:
Ru1 0.5000 0.0000 0.5000  4 Ir 2.63, 6 Ru 2.71-2.72
Ir1 0.0000 0.0000 0.2549  2 Ru 2.63, 6 Ir 2.71-2.72, 2 As 2.71
Ir2 0.0000 0.0000 0.7451  2 Ru 2.63, 6 Ir 2.71-2.72, 2 As 2.71
As1 0.5000 0.0000 0.0000  6 As 2.71-2.72, 4 Ir 2.71

Its volume is 14.7 A^3/atom. As for the space group: Cmmm, No. 65.

(12)
Compound: AlSnAsSe2
Source: Alexandria
Functional: GGA-PBEsol
Structure: relaxed

a b c (Å): 5.1599 5.2200 5.2200
angles (deg): 90.00 90.00 90.00
Last column: nearest neighbours and their distance in Å.
Fractional positions:
Se1 0.0000 0.5000 0.0000  2 Sn 2.61
Se2 0.0000 0.0000 0.5000  2 Sn 2.61
As1 0.5000 0.0000 0.0000  2 Sn 2.58
Sn1 0.0000 0.0000 0.0000  2 As 2.58, 4 Se 2.61
Al1 0.5000 0.5000 0.5000  8 Se 3.67, 4 As 3.69

For the uncorrected formation energy, the calculation gives 55 kJ/mol of atoms. Its volume is 28.1 A^3/atom. As for the space group: P4/mmm, No. 123.

For each record above, in turn, the calculated final energy values are -4.91, -3.76, -6.02, -5.00, -3.16, -8.14, -5.28, -7.80, -6.71, -2.26, -8.29, -3.66 eV/atom.